Density functional theory data (PBE) for MgHg4Rh after structural relaxation.

E_form = 0.332 eV/atom

a b c (Å): 5.681 5.681 5.681
angles (deg): 60.00 60.00 60.00
Atoms (fractional coordinates):
Mg (0.750, 0.750, 0.750)
Hg (0.876, 0.375, 0.375)
Hg (0.375, 0.375, 0.876)
Hg (0.375, 0.375, 0.375)
Hg (0.375, 0.876, 0.375)
Rh (0.000, 0.000, 0.000)



Density functional theory data (PBE) for YSbSe2O after structural relaxation.

Raw formation energy = -0.5455 eV/atom

a b c (Å): 4.736 4.546 4.736
angles (deg): 90.00 90.00 90.00
Atoms (fractional coordinates):
Sb (0.000, 0.500, 0.000)
Y (0.500, 0.500, 0.500)
Se (0.000, 0.000, 0.500)
O (0.000, 0.000, 0.000)
Se (0.500, 0.000, 0.000)



Density functional theory data (PBE) for NaGa2Ge after structural relaxation.

E_form = 0.149 eV/atom

a b c (Å): 3.980 3.980 8.725
angles (deg): 76.81 76.81 60.00
Atoms (fractional coordinates):
Na (0.000, 0.000, 0.000)
Ga (0.117, 0.117, 0.650)
Ga (0.883, 0.883, 0.350)
Ge (0.500, 0.500, 0.500)



Density functional theory data (PBE) for Na2ZnGeS4 after structural relaxation.

Raw formation energy = -0.7965 eV/atom

a b c (Å): 6.552 7.755 7.598
angles (deg): 90.00 90.00 90.00
Atoms (fractional coordinates):
S (0.415, 0.692, 0.742)
Na (0.992, 0.664, 0.244)
S (0.853, 0.894, 0.000)
Zn (0.493, 0.862, 0.000)
Na (0.492, 0.336, 0.256)
Ge (0.500, 0.848, 0.500)
Ge (0.000, 0.152, 0.000)
S (0.340, 0.132, 0.000)
Na (0.992, 0.664, 0.756)
S (0.915, 0.308, 0.242)
S (0.415, 0.692, 0.258)
S (0.915, 0.308, 0.758)
Na (0.492, 0.336, 0.744)
S (0.353, 0.106, 0.500)
S (0.840, 0.868, 0.500)
Zn (0.993, 0.138, 0.500)



Density functional theory data (PBE) for Cs2InTeCl6 after structural relaxation.

Raw formation energy = -1.2064 eV/atom

a b c (Å): 8.191 8.191 7.890
angles (deg): 58.73 58.73 90.00
Atoms (fractional coordinates):
Cl (0.719, 0.281, 0.000)
Cl (0.719, 0.719, 0.000)
In (0.500, 0.500, 0.000)
Cs (0.750, 0.250, 0.500)
Cl (0.281, 0.719, 0.000)
Te (0.000, 0.000, 0.000)
Cs (0.250, 0.750, 0.500)
Cl (0.758, 0.758, 0.484)
Cl (0.281, 0.281, 0.000)
Cl (0.242, 0.242, 0.516)



Density functional theory data (PBE) for PmBr3Cl after structural relaxation.

Raw formation energy = -1.5324 eV/atom

a b c (Å): 7.229 7.229 8.479
angles (deg): 98.03 120.03 104.44
Atoms (fractional coordinates):
Cl (0.692, 0.053, 0.746)
Br (0.653, 0.468, 0.122)
Pm (0.339, 0.195, 0.534)
Br (0.834, 0.074, 0.302)
Pm (0.661, 0.805, 0.466)
Br (0.228, 0.468, 0.302)
Cl (0.308, 0.947, 0.254)
Br (0.166, 0.926, 0.698)
Br (0.772, 0.532, 0.698)
Br (0.347, 0.532, 0.878)



Density functional theory data (PBE) for Y2MgMnAg after structural relaxation.

E_form = 0.482 eV/atom

a b c (Å): 5.543 4.917 5.543
angles (deg): 90.00 90.00 90.00
Atoms (fractional coordinates):
Mg (0.500, 0.500, 0.500)
Mn (0.000, 0.500, 0.000)
Y (0.000, 0.000, 0.500)
Ag (0.000, 0.000, 0.000)
Y (0.500, 0.000, 0.000)



Density functional theory data (PBE) for LaAlRu2C after structural relaxation.

E_form = -0.381 eV/atom

a b c (Å): 4.136 6.001 7.289
angles (deg): 90.00 90.00 110.16
Atoms (fractional coordinates):
Al (0.275, 0.550, 0.250)
La (0.553, 0.106, 0.250)
La (0.447, 0.894, 0.750)
Ru (0.163, 0.326, 0.558)
C (0.000, 0.000, 0.500)
C (0.000, 0.000, 0.000)
Ru (0.837, 0.674, 0.442)
Ru (0.837, 0.674, 0.058)
Ru (0.163, 0.326, 0.942)
Al (0.725, 0.450, 0.750)



Density functional theory data (PBE) for SmNpIrRu after structural relaxation.

E_form = -0.233 eV/atom

a b c (Å): 4.861 4.861 4.861
angles (deg): 60.00 60.00 60.00
Atoms (fractional coordinates):
Sm (0.750, 0.750, 0.750)
Np (0.250, 0.250, 0.250)
Ir (0.500, 0.500, 0.500)
Ru (0.000, 0.000, 0.000)



Density functional theory data (PBE) for Na2ClO after structural relaxation.

Raw formation energy = -1.1519 eV/atom
Offset from the most stable computed form = 0.000 eV per atom

a b c (Å): 6.741 6.741 5.925
angles (deg): 55.33 55.33 90.00
Atoms (fractional coordinates):
Cl (0.000, 0.000, 0.000)
O (0.250, 0.750, 0.500)
Na (0.176, 0.625, 0.250)
O (0.500, 0.500, 0.000)
Cl (0.750, 0.250, 0.500)
Na (0.375, 0.426, 0.750)
Na (0.574, 0.125, 0.250)
Na (0.875, 0.824, 0.750)



Density functional theory data (PBE) for Sn2Te2Pb after structural relaxation.

Raw formation energy = -0.0287 eV/atom
Offset from the most stable computed form = 0.030 eV per atom

a b c (Å): 4.268 4.268 9.337
angles (deg): 76.79 76.79 90.00
Atoms (fractional coordinates):
Te (0.597, 0.597, 0.807)
Sn (0.250, 0.750, 0.500)
Te (0.403, 0.403, 0.193)
Sn (0.750, 0.250, 0.500)
Pb (0.000, 0.000, 0.000)



Density functional theory data (PBE) for Al2GeCl8 after structural relaxation.

Raw formation energy = -1.3248 eV/atom

a b c (Å): 6.202 7.949 7.949
angles (deg): 74.05 95.69 95.69
Atoms (fractional coordinates):
Cl (0.774, 0.356, 0.356)
Cl (0.235, 0.071, 0.716)
Cl (0.765, 0.284, 0.929)
Cl (0.298, 0.179, 0.179)
Cl (0.226, 0.644, 0.644)
Cl (0.702, 0.821, 0.821)
Ge (0.000, 0.000, 0.000)
Cl (0.765, 0.929, 0.284)
Al (0.348, 0.806, 0.806)
Al (0.652, 0.194, 0.194)
Cl (0.235, 0.716, 0.071)



Density functional theory data (PBE) for TaSiTc3 after structural relaxation.

Raw formation energy = 1.9057 eV/atom
Offset from the most stable computed form = 1.374 eV per atom

a b c (Å): 4.731 4.731 4.731
angles (deg): 90.00 90.00 90.00
Atoms (fractional coordinates):
Tc (0.500, 0.000, 0.000)
Tc (0.000, 0.500, 0.000)
Ta (0.000, 0.000, 0.000)
Tc (0.000, 0.000, 0.500)
Si (0.500, 0.500, 0.500)



Density functional theory data (PBE) for LiGeP2 after structural relaxation.

E_form = 0.155 eV/atom

a b c (Å): 3.469 3.469 7.983
angles (deg): 77.45 77.45 60.00
Atoms (fractional coordinates):
Ge (0.500, 0.500, 0.500)
P (0.897, 0.897, 0.310)
Li (0.000, 0.000, 0.000)
P (0.103, 0.103, 0.690)



Density functional theory data (PBE) for In2HgSb after structural relaxation.

Raw formation energy = 0.0304 eV/atom
Offset from the most stable computed form = 0.027 eV per atom

a b c (Å): 3.530 3.530 8.809
angles (deg): 90.00 90.00 90.00
Atoms (fractional coordinates):
In (0.000, 0.000, 0.506)
Hg (0.500, 0.500, 0.750)
In (0.000, 0.000, 0.994)
Sb (0.500, 0.500, 0.250)



Density functional theory data (PBE) for Ce2TmZn2Rh5 after structural relaxation.

E_form = -0.649 eV/atom

a b c (Å): 3.700 9.894 9.894
angles (deg): 90.00 90.00 90.00
Atoms (fractional coordinates):
Rh (0.500, 0.077, 0.791)
Zn (0.000, 0.879, 0.379)
Rh (0.500, 0.709, 0.423)
Rh (0.500, 0.923, 0.209)
Ce (0.000, 0.826, 0.674)
Zn (0.000, 0.379, 0.121)
Ce (0.000, 0.674, 0.174)
Zn (0.000, 0.121, 0.621)
Rh (0.500, 0.209, 0.077)
Rh (0.500, 0.000, 0.500)
Rh (0.500, 0.791, 0.923)
Zn (0.000, 0.621, 0.879)
Rh (0.500, 0.577, 0.709)
Tm (0.000, 0.000, 0.000)
Ce (0.000, 0.326, 0.826)
Ce (0.000, 0.174, 0.326)
Tm (0.000, 0.500, 0.500)
Rh (0.500, 0.291, 0.577)
Rh (0.500, 0.500, 0.000)
Rh (0.500, 0.423, 0.291)



Density functional theory data (PBE) for Dy2Al2Ni15 after structural relaxation.

E_form = -0.318 eV/atom

a b c (Å): 6.304 6.304 6.304
angles (deg): 82.12 82.12 82.12
Atoms (fractional coordinates):
Ni (0.345, 0.849, 0.345)
Ni (0.705, 0.295, 0.000)
Ni (0.705, 0.000, 0.295)
Ni (0.849, 0.345, 0.345)
Ni (0.000, 0.000, 0.500)
Dy (0.350, 0.350, 0.350)
Ni (0.000, 0.705, 0.295)
Dy (0.650, 0.650, 0.650)
Ni (0.655, 0.151, 0.655)
Ni (0.655, 0.655, 0.151)
Ni (0.295, 0.705, 0.000)
Ni (0.345, 0.345, 0.849)
Ni (0.000, 0.295, 0.705)
Ni (0.500, 0.000, 0.000)
Ni (0.295, 0.000, 0.705)
Al (0.103, 0.103, 0.103)
Ni (0.000, 0.500, 0.000)
Al (0.897, 0.897, 0.897)
Ni (0.151, 0.655, 0.655)



Density functional theory data (PBE) for HgBSeN2 after structural relaxation.

Raw formation energy = 1.4703 eV/atom
Offset from the most stable computed form = 0.000 eV per atom

a b c (Å): 3.457 3.457 7.332
angles (deg): 90.00 90.00 90.00
Atoms (fractional coordinates):
Se (0.000, 0.000, 0.500)
Hg (0.500, 0.500, 0.500)
N (0.000, 0.500, 0.000)
N (0.500, 0.000, 0.000)
B (0.000, 0.000, 0.000)



Density functional theory data (PBE) for Ba6Y after structural relaxation.

E_form = 1.060 eV/atom

a b c (Å): 8.023 8.023 8.023
angles (deg): 109.47 109.47 109.47
Atoms (fractional coordinates):
Ba (0.500, 0.250, 0.750)
Ba (0.750, 0.250, 0.500)
Y (0.000, 0.000, 0.000)
Ba (0.250, 0.750, 0.500)
Ba (0.250, 0.500, 0.750)
Ba (0.500, 0.750, 0.250)
Ba (0.750, 0.500, 0.250)



Density functional theory data (PBE) for DyThFeCo after structural relaxation.

E_form = -0.014 eV/atom

a b c (Å): 4.813 4.813 4.813
angles (deg): 60.00 60.00 60.00
Atoms (fractional coordinates):
Fe (0.750, 0.750, 0.750)
Co (0.250, 0.250, 0.250)
Th (0.500, 0.500, 0.500)
Dy (0.000, 0.000, 0.000)



Density functional theory data (PBE) for Ce2TiTl after structural relaxation.

E_form = 0.210 eV/atom
Offset from the most stable computed form = 0.221 eV per atom

a b c (Å): 3.131 3.131 11.538
angles (deg): 82.20 82.20 60.00
Atoms (fractional coordinates):
Ti (0.000, 0.000, 0.000)
Tl (0.500, 0.500, 0.500)
Ce (0.920, 0.920, 0.241)
Ce (0.080, 0.080, 0.759)



Density functional theory data (PBE) for La2YPd9 after structural relaxation.

E_form = -0.809 eV/atom

a b c (Å): 4.207 4.207 12.561
angles (deg): 90.00 90.00 90.00
Atoms (fractional coordinates):
Pd (0.500, 0.500, 0.000)
La (0.000, 0.000, 0.329)
Pd (0.500, 0.500, 0.331)
Pd (0.000, 0.500, 0.161)
Pd (0.000, 0.500, 0.839)
La (0.000, 0.000, 0.671)
Pd (0.500, 0.000, 0.839)
Y (0.000, 0.000, 0.000)
Pd (0.500, 0.000, 0.500)
Pd (0.000, 0.500, 0.500)
Pd (0.500, 0.000, 0.161)
Pd (0.500, 0.500, 0.669)



Density functional theory data (PBE) for Ca2MnCl after structural relaxation.

Raw formation energy = -0.3195 eV/atom
Offset from the most stable computed form = 0.198 eV per atom

a b c (Å): 8.490 5.487 3.456
angles (deg): 89.83 66.21 130.29
Atoms (fractional coordinates):
Ca (0.500, 0.000, 0.500)
Ca (0.000, 0.000, 0.000)
Cl (0.000, 0.500, 0.500)
Mn (0.500, 0.500, 0.000)



Density functional theory data (PBE) for Tb2Ga4NiRu3 after structural relaxation.

E_form = -0.450 eV/atom

a b c (Å): 4.100 4.100 10.579
angles (deg): 90.00 90.00 90.00
Atoms (fractional coordinates):
Ga (0.500, 0.000, 0.626)
Ru (0.000, 0.000, 0.500)
Ni (0.500, 0.500, 0.500)
Ga (0.000, 0.500, 0.374)
Ru (0.500, 0.000, 0.861)
Tb (0.500, 0.000, 0.256)
Ru (0.000, 0.500, 0.139)
Ga (0.000, 0.000, 0.000)
Tb (0.000, 0.500, 0.744)
Ga (0.500, 0.500, 0.000)